Entry 1:
10
Lattice="8.9104 0.0000 0.0000 0.0000 8.9104 0.0000 0.0000 0.0000 3.1593" Properties=species:S:1:pos:R:3 comment="Hf2In2Pb PBE-GGA relaxed" total_magnetization_mub_per_cell=0.00 mass_density_g_cm3=10.5 ef_kj_per_mol_fu=56 relative_energy_mev_per_atom=62.8 energy_ev_per_cell=-57.0 volume_a3_per_atom=25.1 pbc="T T T"
In 2.9365 7.3917 0.0000
In 7.3917 5.9738 0.0000
In 1.5186 2.9365 0.0000
In 5.9738 1.5186 0.0000
Hf 3.3564 1.0988 1.5796
Hf 1.0988 5.5540 1.5796
Hf 7.8116 3.3564 1.5796
Hf 5.5540 7.8116 1.5796
Pb 4.4552 4.4552 0.0000
Pb 0.0000 0.0000 0.0000


Entry 2:
20
Lattice="-7.0501 -3.5226 -1.8894 2.6922 -1.7565 -6.7710 3.1365 -6.4554 2.9218" Properties=species:S:1:pos:R:3 comment="Hf6In3Pb PBE-GGA relaxed" total_magnetization_mub_per_cell=0.00 mass_density_g_cm3=11.5 ef_kj_per_mol_fu=102 energy_ev_per_cell=-141.2 volume_a3_per_atom=23.5 pbc="T T T"
Hf 2.7448 -6.5362 -2.5427
Hf 0.2083 -1.4498 -2.6620
Hf -2.4278 -5.9956 -0.4376
Hf 0.2602 -2.9413 -5.8663
Hf -1.4297 -10.2848 -3.0766
Hf -1.7689 -5.4479 -6.4060
Hf -1.4816 -8.7933 0.1277
Hf 0.5475 -6.2866 0.6674
Hf 0.8062 -4.0202 -1.2208
Hf -2.0276 -7.7144 -4.5178
Hf -3.9662 -5.1983 -3.1959
Hf 1.2063 -5.7389 -5.3010
In 1.5682 -3.2277 1.4609
In 0.8352 -8.6444 -4.3447
In 2.3400 -3.3605 -3.7242
In -2.0566 -3.0901 -1.3939
In -2.1789 -2.6395 -4.3302
In -3.5615 -8.3740 -2.0144
Pb 0.0000 0.0000 0.0000
Pb -0.6107 -5.8673 -2.8693


Entry 3:
18
Lattice="4.3204 0.0000 0.2156 0.0000 9.7105 0.0000 -0.4848 0.0000 9.6983" Properties=species:S:1:pos:R:3 comment="Hf6InPb2 PBE-GGA relaxed" total_magnetization_mub_per_cell=0.00 mass_density_g_cm3=13.0 ef_kj_per_mol_fu=-36 energy_ev_per_cell=-140.5 volume_a3_per_atom=22.7 pbc="T T T"
Hf -0.0782 0.0114 1.5648
Hf 4.0773 6.4226 5.0773
Hf 1.8414 1.5332 6.4877
Hf -0.2417 3.2878 4.8366
Hf 3.9138 9.6990 8.3491
Hf -0.0764 3.3219 1.5308
Hf 1.9942 8.1773 3.4262
Hf 1.6761 1.5673 9.7935
Hf 1.9960 4.8667 3.3922
Hf 3.9120 6.3885 8.3831
Hf 2.1595 8.1432 0.1204
Hf 1.8396 4.8437 6.5217
Pb -0.3980 3.1194 7.9635
Pb 4.2336 6.5911 1.9504
Pb 1.8310 7.9747 6.6917
Pb 2.0046 1.7358 3.2222
In -0.2424 0.0000 4.8491
In 2.1602 4.8552 0.1078


Entry 4:
10
Lattice="7.7390 0.0000 0.0000 0.0000 7.7390 0.0000 0.0000 0.0000 4.1913" Properties=species:S:1:pos:R:3 comment="Hf2InPb2 PBE-GGA relaxed" total_magnetization_mub_per_cell=0.00 mass_density_g_cm3=11.7 ef_kj_per_mol_fu=42 relative_energy_mev_per_atom=0.0 energy_ev_per_cell=-59.2 volume_a3_per_atom=25.1 pbc="T T T"
In 0.0000 0.0000 0.0000
In 3.8695 3.8695 0.0000
Hf 2.7940 6.6635 0.0000
Hf 1.0754 2.7940 0.0000
Hf 4.9449 1.0754 0.0000
Hf 6.6635 4.9449 0.0000
Pb 2.5886 1.2809 2.0956
Pb 1.2809 5.1504 2.0956
Pb 6.4581 2.5886 2.0956
Pb 5.1504 6.4581 2.0956


Number 4 is which compound?
Hf2InPb2


Repeat the fourth record exactly.
10
Lattice="7.7390 0.0000 0.0000 0.0000 7.7390 0.0000 0.0000 0.0000 4.1913" Properties=species:S:1:pos:R:3 comment="Hf2InPb2 PBE-GGA relaxed" total_magnetization_mub_per_cell=0.00 mass_density_g_cm3=11.7 ef_kj_per_mol_fu=42 relative_energy_mev_per_atom=0.0 energy_ev_per_cell=-59.2 volume_a3_per_atom=25.1 pbc="T T T"
In 0.0000 0.0000 0.0000
In 3.8695 3.8695 0.0000
Hf 2.7940 6.6635 0.0000
Hf 1.0754 2.7940 0.0000
Hf 4.9449 1.0754 0.0000
Hf 6.6635 4.9449 0.0000
Pb 2.5886 1.2809 2.0956
Pb 1.2809 5.1504 2.0956
Pb 6.4581 2.5886 2.0956
Pb 5.1504 6.4581 2.0956


Please write out number 1 again, unchanged.
10
Lattice="8.9104 0.0000 0.0000 0.0000 8.9104 0.0000 0.0000 0.0000 3.1593" Properties=species:S:1:pos:R:3 comment="Hf2In2Pb PBE-GGA relaxed" total_magnetization_mub_per_cell=0.00 mass_density_g_cm3=10.5 ef_kj_per_mol_fu=56 relative_energy_mev_per_atom=62.8 energy_ev_per_cell=-57.0 volume_a3_per_atom=25.1 pbc="T T T"
In 2.9365 7.3917 0.0000
In 7.3917 5.9738 0.0000
In 1.5186 2.9365 0.0000
In 5.9738 1.5186 0.0000
Hf 3.3564 1.0988 1.5796
Hf 1.0988 5.5540 1.5796
Hf 7.8116 3.3564 1.5796
Hf 5.5540 7.8116 1.5796
Pb 4.4552 4.4552 0.0000
Pb 0.0000 0.0000 0.0000